<one>
# SbPbNF2, optimized geometry, DFT PBE
# Mass density: 5.31 g/cm³
# Total magnetic moment: 0.96 μB per formula unit
data_SbPbNF2
_chemical_formula_sum 'Sb1 Pb1 N1 F2'
_symmetry_space_group_name_H-M 'P 1'
_symmetry_Int_Tables_number 1
_symmetry_space_group_name_Hall 'P 1'
_cell_length_a 4.354
_cell_length_b 6.286
_cell_length_c 4.354
_cell_angle_alpha 90.00
_cell_angle_beta 90.00
_cell_angle_gamma 90.00
loop_
_atom_site_label
_atom_site_type_symbol
_atom_site_fract_x
_atom_site_fract_y
_atom_site_fract_z
Sb1 Sb 0.000 0.500 0.000
Pb1 Pb 0.000 0.000 0.000
F1 F 0.000 0.000 0.500
F2 F 0.500 0.000 0.000
N1 N 0.500 0.500 0.500

---

<two>
# SbPbNF2, optimized geometry, DFT PBE
# Mass density: 6.82 g/cm³
# Total magnetic moment: 0.00 μB per formula unit
data_SbPbNF2
_chemical_formula_sum 'Sb1 Pb1 N1 F2'
_symmetry_space_group_name_H-M 'P 1'
_symmetry_Int_Tables_number 1
_symmetry_space_group_name_Hall 'P 1'
_cell_length_a 4.538
_cell_length_b 4.538
_cell_length_c 4.505
_cell_angle_alpha 90.00
_cell_angle_beta 90.00
_cell_angle_gamma 90.00
loop_
_atom_site_label
_atom_site_type_symbol
_atom_site_fract_x
_atom_site_fract_y
_atom_site_fract_z
F1 F 0.000 0.500 0.000
F2 F 0.500 0.000 0.000
Pb1 Pb 0.000 0.000 0.000
N1 N 0.000 0.000 0.500
Sb1 Sb 0.500 0.500 0.500

---

Most stable: <two>. Least stable: <one>.

---

<one>
# ScPbN2F, optimized geometry, DFT PBE
# Mass density: 6.11 g/cm³
# Total magnetic moment: 0.00 μB per formula unit
data_ScPbN2F
_chemical_formula_sum 'Sc1 Pb1 N2 F1'
_symmetry_space_group_name_H-M 'P 1'
_symmetry_Int_Tables_number 1
_symmetry_space_group_name_Hall 'P 1'
_cell_length_a 4.372
_cell_length_b 4.372
_cell_length_c 4.255
_cell_angle_alpha 90.00
_cell_angle_beta 90.00
_cell_angle_gamma 90.00
loop_
_atom_site_label
_atom_site_type_symbol
_atom_site_fract_x
_atom_site_fract_y
_atom_site_fract_z
F1 F 0.000 0.000 0.500
N1 N 0.000 0.500 0.000
N2 N 0.500 0.000 0.000
Pb1 Pb 0.000 0.000 0.000
Sc1 Sc 0.500 0.500 0.500

---

<two>
# ScPbN2F, optimized geometry, DFT PBE
# Mass density: 6.63 g/cm³
# Total magnetic moment: 1.45 μB per formula unit
data_ScPbN2F
_chemical_formula_sum 'Sc1 Pb1 N2 F1'
_symmetry_space_group_name_H-M 'P 1'
_symmetry_Int_Tables_number 1
_symmetry_space_group_name_Hall 'P 1'
_cell_length_a 4.271
_cell_length_b 4.271
_cell_length_c 4.108
_cell_angle_alpha 90.00
_cell_angle_beta 90.00
_cell_angle_gamma 90.00
loop_
_atom_site_label
_atom_site_type_symbol
_atom_site_fract_x
_atom_site_fract_y
_atom_site_fract_z
Pb1 Pb 0.500 0.500 0.500
F1 F 0.000 0.000 0.500
Sc1 Sc 0.000 0.000 0.000
N1 N 0.500 0.000 0.000
N2 N 0.000 0.500 0.000

---

Most stable: <two>. Least stable: <one>.

---

<one>
# ScPbNF2, optimized geometry, DFT PBE
# Mass density: 7.09 g/cm³
# Total magnetic moment: 0.00 μB per formula unit
data_ScPbNF2
_chemical_formula_sum 'Sc1 Pb1 N1 F2'
_symmetry_space_group_name_H-M 'P 1'
_symmetry_Int_Tables_number 1
_symmetry_space_group_name_Hall 'P 1'
_cell_length_a 4.069
_cell_length_b 4.069
_cell_length_c 4.302
_cell_angle_alpha 90.00
_cell_angle_beta 90.00
_cell_angle_gamma 90.00
loop_
_atom_site_label
_atom_site_type_symbol
_atom_site_fract_x
_atom_site_fract_y
_atom_site_fract_z
Pb1 Pb 0.500 0.500 0.500
F1 F 0.500 0.000 0.000
F2 F 0.000 0.500 0.000
Sc1 Sc 0.000 0.000 0.000
N1 N 0.000 0.000 0.500

---

<two>
# ScPbNF2, optimized geometry, DFT PBE
# Mass density: 5.47 g/cm³
# Total magnetic moment: 1.01 μB per formula unit
data_ScPbNF2
_chemical_formula_sum 'Sc1 Pb1 N1 F2'
_symmetry_space_group_name_H-M 'P 1'
_symmetry_Int_Tables_number 1
_symmetry_space_group_name_Hall 'P 1'
_cell_length_a 4.550
_cell_length_b 4.550
_cell_length_c 4.457
_cell_angle_alpha 90.00
_cell_angle_beta 90.00
_cell_angle_gamma 90.00
loop_
_atom_site_label
_atom_site_type_symbol
_atom_site_fract_x
_atom_site_fract_y
_atom_site_fract_z
F1 F 0.000 0.500 0.000
F2 F 0.500 0.000 0.000
Pb1 Pb 0.000 0.000 0.000
Sc1 Sc 0.500 0.500 0.500
N1 N 0.000 0.000 0.500

---

Most stable: <one>. Least stable: <two>.

---

<one>
# SiPbN2F, optimized geometry, DFT PBE
# Mass density: 5.59 g/cm³
# Total magnetic moment: 0.60 μB per formula unit
data_SiPbN2F
_chemical_formula_sum 'Si1 Pb1 N2 F1'
_symmetry_space_group_name_H-M 'P 1'
_symmetry_Int_Tables_number 1
_symmetry_space_group_name_Hall 'P 1'
_cell_length_a 4.374
_cell_length_b 4.374
_cell_length_c 4.381
_cell_angle_alpha 90.00
_cell_angle_beta 90.00
_cell_angle_gamma 90.00
loop_
_atom_site_label
_atom_site_type_symbol
_atom_site_fract_x
_atom_site_fract_y
_atom_site_fract_z
Pb1 Pb 0.000 0.000 0.000
N1 N 0.000 0.500 0.000
N2 N 0.500 0.000 0.000
Si1 Si 0.500 0.500 0.500
F1 F 0.000 0.000 0.500

---

<two>
# SiPbN2F, optimized geometry, DFT PBE
# Mass density: 7.60 g/cm³
# Total magnetic moment: 0.50 μB per formula unit
data_SiPbN2F
_chemical_formula_sum 'Si1 Pb1 N2 F1'
_symmetry_space_group_name_H-M 'P 1'
_symmetry_Int_Tables_number 1
_symmetry_space_group_name_Hall 'P 1'
_cell_length_a 3.645
_cell_length_b 3.645
_cell_length_c 4.640
_cell_angle_alpha 90.00
_cell_angle_beta 90.00
_cell_angle_gamma 90.00
loop_
_atom_site_label
_atom_site_type_symbol
_atom_site_fract_x
_atom_site_fract_y
_atom_site_fract_z
Si1 Si 0.000 0.000 0.000
F1 F 0.000 0.000 0.500
Pb1 Pb 0.500 0.500 0.500
N1 N 0.000 0.500 0.000
N2 N 0.500 0.000 0.000

---

Most stable: <two>. Least stable: <one>.

---

<one>
# SnPbN2F, optimized geometry, DFT PBE
# Mass density: 7.39 g/cm³
# Total magnetic moment: 0.97 μB per formula unit
data_SnPbN2F
_chemical_formula_sum 'Sn1 Pb1 N2 F1'
_symmetry_space_group_name_H-M 'P 1'
_symmetry_Int_Tables_number 1
_symmetry_space_group_name_Hall 'P 1'
_cell_length_a 4.338
_cell_length_b 4.338
_cell_length_c 4.455
_cell_angle_alpha 90.00
_cell_angle_beta 90.00
_cell_angle_gamma 90.00
loop_
_atom_site_label
_atom_site_type_symbol
_atom_site_fract_x
_atom_site_fract_y
_atom_site_fract_z
F1 F 0.000 0.000 0.500
N1 N 0.500 0.000 0.000
N2 N 0.000 0.500 0.000
Pb1 Pb 0.000 0.000 0.000
Sn1 Sn 0.500 0.500 0.500

---

<two>
# SnPbN2F, optimized geometry, DFT PBE
# Mass density: 7.57 g/cm³
# Total magnetic moment: 0.56 μB per formula unit
data_SnPbN2F
_chemical_formula_sum 'Sn1 Pb1 N2 F1'
_symmetry_space_group_name_H-M 'P 1'
_symmetry_Int_Tables_number 1
_symmetry_space_group_name_Hall 'P 1'
_cell_length_a 4.308
_cell_length_b 4.308
_cell_length_c 4.407
_cell_angle_alpha 90.00
_cell_angle_beta 90.00
_cell_angle_gamma 90.00
loop_
_atom_site_label
_atom_site_type_symbol
_atom_site_fract_x
_atom_site_fract_y
_atom_site_fract_z
F1 F 0.000 0.000 0.500
Sn1 Sn 0.000 0.000 0.000
Pb1 Pb 0.500 0.500 0.500
N1 N 0.500 0.000 0.000
N2 N 0.000 0.500 0.000

---

Most stable: <two>. Least stable: <one>.

---

<one>
# SrPbN2F, optimized geometry, DFT PBE
# Mass density: 5.00 g/cm³
# Total magnetic moment: 3.00 μB per formula unit
data_SrPbN2F
_chemical_formula_sum 'Sr1 Pb1 N2 F1'
_symmetry_space_group_name_H-M 'P 1'
_symmetry_Int_Tables_number 1
_symmetry_space_group_name_Hall 'P 1'
_cell_length_a 5.002
_cell_length_b 5.002
_cell_length_c 4.535
_cell_angle_alpha 90.00
_cell_angle_beta 90.00
_cell_angle_gamma 90.00
loop_
_atom_site_label
_atom_site_type_symbol
_atom_site_fract_x
_atom_site_fract_y
_atom_site_fract_z
N1 N 0.000 0.500 0.000
N2 N 0.500 0.000 0.000
Pb1 Pb 0.500 0.500 0.500
Sr1 Sr 0.000 0.000 0.000
F1 F 0.000 0.000 0.500

---

<two>
# SrPbN2F, optimized geometry, DFT PBE
# Mass density: 6.33 g/cm³
# Total magnetic moment: 1.10 μB per formula unit
data_SrPbN2F
_chemical_formula_sum 'Sr1 Pb1 N2 F1'
_symmetry_space_group_name_H-M 'P 1'
_symmetry_Int_Tables_number 1
_symmetry_space_group_name_Hall 'P 1'
_cell_length_a 4.436
_cell_length_b 4.436
_cell_length_c 4.560
_cell_angle_alpha 90.00
_cell_angle_beta 90.00
_cell_angle_gamma 90.00
loop_
_atom_site_label
_atom_site_type_symbol
_atom_site_fract_x
_atom_site_fract_y
_atom_site_fract_z
N1 N 0.000 0.500 0.000
N2 N 0.500 0.000 0.000
F1 F 0.000 0.000 0.500
Sr1 Sr 0.500 0.500 0.500
Pb1 Pb 0.000 0.000 0.000

---

Most stable: <two>. Least stable: <one>.

---

<one>
# TiPbNF2, optimized geometry, DFT PBE
# Mass density: 7.27 g/cm³
# Total magnetic moment: 0.74 μB per formula unit
data_TiPbNF2
_chemical_formula_sum 'Ti1 Pb1 N1 F2'
_symmetry_space_group_name_H-M 'P 1'
_symmetry_Int_Tables_number 1
_symmetry_space_group_name_Hall 'P 1'
_cell_length_a 4.175
_cell_length_b 4.175
_cell_length_c 4.025
_cell_angle_alpha 90.00
_cell_angle_beta 90.00
_cell_angle_gamma 90.00
loop_
_atom_site_label
_atom_site_type_symbol
_atom_site_fract_x
_atom_site_fract_y
_atom_site_fract_z
Ti1 Ti 0.000 0.000 0.000
F1 F 0.500 0.000 0.000
F2 F 0.000 0.500 0.000
Pb1 Pb 0.500 0.500 0.500
N1 N 0.000 0.000 0.500

---

<two>
# TiPbNF2, optimized geometry, DFT PBE
# Mass density: 5.89 g/cm³
# Total magnetic moment: 0.00 μB per formula unit
data_TiPbNF2
_chemical_formula_sum 'Ti1 Pb1 N1 F2'
_symmetry_space_group_name_H-M 'P 1'
_symmetry_Int_Tables_number 1
_symmetry_space_group_name_Hall 'P 1'
_cell_length_a 3.761
_cell_length_b 6.122
_cell_length_c 3.761
_cell_angle_alpha 90.00
_cell_angle_beta 90.00
_cell_angle_gamma 90.00
loop_
_atom_site_label
_atom_site_type_symbol
_atom_site_fract_x
_atom_site_fract_y
_atom_site_fract_z
Pb1 Pb 0.000 0.500 0.000
Ti1 Ti 0.000 0.000 0.000
N1 N 0.500 0.500 0.500
F1 F 0.000 0.000 0.500
F2 F 0.500 0.000 0.000

---

<three>
# TiPbNF2, optimized geometry, DFT PBE
# Mass density: 5.59 g/cm³
# Total magnetic moment: 2.10 μB per formula unit
data_TiPbNF2
_chemical_formula_sum 'Ti1 Pb1 N1 F2'
_symmetry_space_group_name_H-M 'P 1'
_symmetry_Int_Tables_number 1
_symmetry_space_group_name_Hall 'P 1'
_cell_length_a 4.533
_cell_length_b 4.533
_cell_length_c 4.441
_cell_angle_alpha 90.00
_cell_angle_beta 90.00
_cell_angle_gamma 90.00
loop_
_atom_site_label
_atom_site_type_symbol
_atom_site_fract_x
_atom_site_fract_y
_atom_site_fract_z
Ti1 Ti 0.500 0.500 0.500
F1 F 0.000 0.500 0.000
F2 F 0.500 0.000 0.000
N1 N 0.000 0.000 0.500
Pb1 Pb 0.000 0.000 0.000

---

Most stable: <one>. Least stable: <three>.